Record 1
# CoIr2Se, single point on PBEsol structure, DFT meta-GGA SCAN
# Crystal system: orthorhombic
# Formation energy (no corrections): 0.409 eV/atom
data_CoIr2Se
_space_group_name_H-M_alt 'P m m m'
_space_group_IT_number 47
_space_group_name_Hall '-P 2 2'
_cell_length_a 2.837
_cell_length_b 3.500
_cell_length_c 5.573
_cell_angle_alpha 90.00
_cell_angle_beta 90.00
_cell_angle_gamma 90.00
loop_
_atom_site_label
_atom_site_type_symbol
_atom_site_fract_x
_atom_site_fract_y
_atom_site_fract_z
Co1 Co 0.000 0.000 0.000
Ir1 Ir 0.500 0.500 0.234
Se1 Se 0.000 0.000 0.500


Record 2
# ScAlAu, single point on PBEsol structure, DFT meta-GGA SCAN
# Crystal system: hexagonal
# Raw total energy: -31.416 eV/atom
data_ScAlAu
_space_group_name_H-M_alt 'P -6 2 c'
_space_group_IT_number 190
_space_group_name_Hall 'P -6c -2c'
_cell_length_a 7.2101
_cell_length_b 7.2101
_cell_length_c 7.1974
_cell_angle_alpha 90.00
_cell_angle_beta 90.00
_cell_angle_gamma 120.00
loop_
_atom_site_label
_atom_site_type_symbol
_atom_site_fract_x
_atom_site_fract_y
_atom_site_fract_z
Sc1 Sc 0.0166 0.6061 0.2500
Al1 Al 0.0000 0.2632 0.0000
Au1 Au 0.0000 0.0000 0.2500
Au2 Au 0.3333 0.6667 0.5235


Record 3
# InTePt4, single point on PBEsol structure, DFT meta-GGA SCAN
# Crystal system: cubic
# Formation energy (no corrections): 0.010 eV/atom
data_InTePt4
_space_group_name_H-M_alt 'F -4 3 m'
_space_group_IT_number 216
_space_group_name_Hall 'F -4 2 3'
_cell_length_a 7.541
_cell_length_b 7.541
_cell_length_c 7.541
_cell_angle_alpha 90.00
_cell_angle_beta 90.00
_cell_angle_gamma 90.00
loop_
_atom_site_label
_atom_site_type_symbol
_atom_site_fract_x
_atom_site_fract_y
_atom_site_fract_z
In1 In 0.000 0.000 0.000
Te1 Te 0.250 0.250 0.250
Pt1 Pt 0.125 0.125 0.625